A geometry-optimized Na2MnCdF6 structure, computed with PBE with a Hubbard U.

**Total magnetization**: 0.500 μB per atom
**Electronic total energy**: -4.709 eV per atom

Cell: 6.1006 6.1006 4.4032 Å, 90.00 90.00 90.00°
Space group P4mm (No. 99)
One atom of each set of equivalent atoms:
Na 0.0000 0.5000 0.0000 x2
Mn 0.0000 0.0000 0.6869 x1
Cd 0.5000 0.5000 0.6727 x1
F 0.0000 0.0000 0.2105 x1
F 0.2427 0.2427 0.7544 x4
F 0.5000 0.5000 0.1848 x1